Entry 1:
# AcMgP2

A relaxed structure of AcMgP2 (PBE, Alexandria).

Computed properties:
Energy relative to the elements in eV per atom: -0.578
Symmetry: P4/mmm, No. 123
M_tot in μB/f.u.: 0.000
Relative energy among the computed polymorphs in kJ per mole of atoms: 18.2
ρ in g/cm3: 5.60

a = 4.9222 Å, b = 4.9222 Å, c = 3.8356 Å
α = 90.00°, β = 90.00°, γ = 90.00°
Element x y z (fractional)
Ac1 0.0000 0.0000 0.0000
Mg1 0.5000 0.5000 0.0000
P1 0.0000 0.5000 0.5000
P2 0.5000 0.0000 0.5000



Entry 2:
# Ac3MgP

A relaxed structure of Ac3MgP (PBE, Alexandria).

Computed properties:
Energy relative to the elements in eV per atom: -0.410
Symmetry: Pm-3m, No. 221
M_tot in μB/f.u.: 0.000
ρ in g/cm3: 5.99

a = 5.8873 Å, b = 5.8873 Å, c = 5.8873 Å
α = 90.00°, β = 90.00°, γ = 90.00°
Element x y z (fractional)
Ac1 0.0000 0.0000 0.5000
Ac2 0.0000 0.5000 0.0000
Ac3 0.5000 0.0000 0.0000
Mg1 0.5000 0.5000 0.5000
P1 0.0000 0.0000 0.0000



Entry 3:
# AcMgP2

A relaxed structure of AcMgP2 (PBE, Alexandria).

Computed properties:
Energy relative to the elements in eV per atom: -0.529
Symmetry: P4/mmm, No. 123
M_tot in μB/f.u.: 0.000
Relative energy among the computed polymorphs in kJ per mole of atoms: 22.9
ρ in g/cm3: 6.03

a = 3.6764 Å, b = 3.6764 Å, c = 6.3827 Å
α = 90.00°, β = 90.00°, γ = 90.00°
Element x y z (fractional)
Ac1 0.0000 0.0000 0.0000
Mg1 0.0000 0.0000 0.5000
P1 0.5000 0.5000 0.3078
P2 0.5000 0.5000 0.6922



Entry 4:
# Ac2MgP4Pd3

A relaxed structure of Ac2MgP4Pd3 (PBE, Alexandria).

Computed properties:
Energy relative to the elements in eV per atom: -0.940
Symmetry: P-4m2, No. 115
M_tot in μB/f.u.: 0.000
ρ in g/cm3: 7.79

a = 4.3975 Å, b = 4.3975 Å, c = 10.1630 Å
α = 90.00°, β = 90.00°, γ = 90.00°
Element x y z (fractional)
Ac1 0.0000 0.5000 0.2359
Ac2 0.5000 0.0000 0.7641
Mg1 0.0000 0.0000 0.5000
P1 0.0000 0.0000 0.0000
P2 0.0000 0.5000 0.6427
P3 0.5000 0.0000 0.3573
P4 0.5000 0.5000 0.0000
Pd1 0.0000 0.5000 0.8937
Pd2 0.5000 0.0000 0.1063
Pd3 0.5000 0.5000 0.5000



Q: Which of these has the highest ρ?
A: Ac2MgP4Pd3



Q: energy relative to the elements of number 3 (AcMgP2)?
A: -0.529 eV per atom